HfMnPCl2: optimized geometry, PBE-GGA.

Lattice parameters (Å, degrees): 4.873 4.873 5.192 90.00 90.00 90.00
Fractional positions:
Hf  0.000  0.000  0.000
Mn  0.500  0.500  0.500
P  0.000  0.000  0.500
Cl  0.000  0.500  0.000
Cl  0.500  0.000  0.000

* calculated density: 4.5 Mg/m³
* DOS(E_F): 2.69 states/eV/f.u.
* calculated total energy: -29.63 eV per cell
* energy above the most stable polymorph in this dataset: 0 meV/atom